# 1
Entry from the Alexandria database: crystalline ThTa2ReC4 at its relaxed geometry (PBE).

abc: 3.3251 11.5595 11.1188
angles: 90.00 90.00 90.00
Space group Cmcm (No. 63)
Asymmetric unit:
Th  0.0000  0.1010  0.2500
Ta  0.0000  0.3742  0.0385
Re  0.0000  0.1624  0.7500
C  0.0000  0.0000  0.0000
C  0.0000  0.2657  0.6106
C  0.0000  0.4350  0.2500

Values from the calculation:
ΔH_f (0 K)   -0.24 eV/atom

---

# 2
Entry from the Alexandria database: crystalline TmTa2ReC4 at its relaxed geometry (PBE).

abc: 3.2120 11.2712 11.2229
angles: 90.00 90.00 90.00
Space group Cmcm (No. 63)
Asymmetric unit:
Tm  0.0000  0.1174  0.2500
Ta  0.0000  0.3699  0.0341
Re  0.0000  0.1485  0.7500
C  0.0000  0.0000  0.0000
C  0.0000  0.2621  0.6159
C  0.0000  0.4558  0.2500

Values from the calculation:
ΔH_f (0 K)   -0.25 eV/atom

---

# 3
Entry from the Alexandria database: crystalline UTa2ReC4 at its relaxed geometry (PBE).

abc: 3.1917 11.4183 11.1307
angles: 90.00 90.00 90.00
Space group Cmcm (No. 63)
Asymmetric unit:
U  0.0000  0.1101  0.2500
Ta  0.0000  0.3722  0.0380
Re  0.0000  0.1536  0.7500
C  0.0000  0.0000  0.0000
C  0.0000  0.2688  0.6164
C  0.0000  0.4557  0.2500

Values from the calculation:
ΔH_f (0 K)   -0.18 eV/atom

---

# 4
Entry from the Alexandria database: crystalline Tb3Re2C4 at its relaxed geometry (PBE).

abc: 10.9728 3.2518 7.4089
angles: 90.00 97.33 90.00
Space group C2/m (No. 12)
Asymmetric unit:
Tb  0.0000  0.0000  0.0000
Tb  0.1182  0.5000  0.4072
Re  0.2082  0.5000  0.8307
C  0.1440  0.0000  0.6578
C  0.1580  0.5000  0.0905

Values from the calculation:
ΔH_f (0 K)   -0.04 eV/atom

---

# 5
Entry from the Alexandria database: crystalline Tb3ReC4 at its relaxed geometry (PBE).

abc: 7.7787 6.8651 5.2444
angles: 90.00 90.00 90.00
Space group Pmn2_1 (No. 31)
Asymmetric unit:
Tb  0.0000  0.1409  0.0000
Tb  0.2479  0.3295  0.4995
Re  0.0000  0.8244  0.4645
C  0.0000  0.1077  0.5202
C  0.0000  0.8191  0.1045
C  0.2182  0.6861  0.5305

Values from the calculation:
ΔH_f (0 K)   -0.12 eV/atom

---

# 6
Entry from the Alexandria database: crystalline Tb2ReC2 at its relaxed geometry (PBE).

abc: 11.2111 5.1607 6.6762
angles: 90.00 118.76 90.00
Space group C2/m (No. 12)
Asymmetric unit:
Tb  0.0318  0.0000  0.2779
Tb  0.1790  0.5000  0.1259
Re  0.1381  0.5000  0.6297
C  0.0067  0.5000  0.2767
C  0.1804  0.0000  0.1105

Values from the calculation:
ΔH_f (0 K)   -0.32 eV/atom

---

# 7
Entry from the Alexandria database: crystalline Tb2ReC3 at its relaxed geometry (PBE).

abc: 3.6033 11.3025 5.0789
angles: 90.00 90.00 90.00
Space group Imm2 (No. 44)
Asymmetric unit:
Tb  0.0000  0.1594  0.0000
Re  0.0000  0.5000  0.0041
C  0.0000  0.0000  0.6871
C  0.0000  0.3552  0.8086

Values from the calculation:
ΔH_f (0 K)   0.14 eV/atom

---

# 8
Entry from the Alexandria database: crystalline Tb12Re5C15 at its relaxed geometry (PBE).

abc: 10.7787 10.7787 5.1370
angles: 90.00 90.00 120.00
Space group P-62m (No. 189)
Asymmetric unit:
Tb  0.0000  0.2057  0.0000
Tb  0.0000  0.5730  0.0000
Tb  0.1860  0.4562  0.5000
Re  0.0000  0.8476  0.5000
Re  0.3333  0.6667  0.0000
C  0.0000  0.2141  0.5000
C  0.0000  0.5417  0.5000
C  0.0000  0.6675  0.5000
C  0.1880  0.4693  0.0000

Values from the calculation:
ΔH_f (0 K)   -0.35 eV/atom

---

# 9
Entry from the Alexandria database: crystalline Tb2ReC2 at its relaxed geometry (PBE).

abc: 6.6023 5.1577 9.9087
angles: 90.00 90.00 90.00
Space group Pnma (No. 62)
Asymmetric unit:
Tb  0.0307  0.2500  0.2156
Tb  0.1814  0.2500  0.5546
Re  0.2226  0.2500  0.8645
C  0.0437  0.7500  0.2410
C  0.1790  0.7500  0.5477

Values from the calculation:
ΔH_f (0 K)   -0.40 eV/atom

---

# 10
Entry from the Alexandria database: crystalline TbRe4C2 at its relaxed geometry (PBE).

abc: 3.9569 13.7015 3.9442
angles: 90.00 90.00 90.00
Space group Cmmm (No. 65)
Asymmetric unit:
Tb  0.0000  0.0000  0.0000
Re  0.0000  0.1760  0.5000
Re  0.0000  0.3155  0.0000
C  0.0000  0.3707  0.5000

Values from the calculation:
ΔH_f (0 K)   0.15 eV/atom

---

# 11
Entry from the Alexandria database: crystalline Tb3ReC3 at its relaxed geometry (PBE).

abc: 8.7430 10.5147 5.1868
angles: 90.00 90.00 90.00
Space group Cmcm (No. 63)
Asymmetric unit:
Tb  0.0000  0.1085  0.2500
Tb  0.2118  0.3817  0.2500
Re  0.0000  0.3081  0.7500
C  0.0000  0.1237  0.7500
C  0.2059  0.3776  0.7500

Values from the calculation:
ΔH_f (0 K)   -0.37 eV/atom

---

# 12
Entry from the Alexandria database: crystalline Tb2ThReC4 at its relaxed geometry (PBE).

abc: 3.5192 12.2027 12.2780
angles: 90.00 90.00 90.00
Space group Cmcm (No. 63)
Asymmetric unit:
Tb  0.0000  0.1293  0.0390
Th  0.0000  0.4082  0.2500
Re  0.0000  0.3305  0.7500
C  0.0000  0.0797  0.2500
C  0.0000  0.2310  0.6326
C  0.0000  0.5000  0.0000

Values from the calculation:
ΔH_f (0 K)   -0.11 eV/atom

---

no.,total magnetization (μB/atom)
1,0.000
2,0.000
3,0.140
4,0.000
5,0.000
6,0.000
7,0.000
8,0.000
9,0.000
10,0.000
11,0.023
12,0.000